The following is a PBE calculation of YAl9Pd2 after structural relaxation, from Alexandria via LeMat-Bulk.

Summary:
formation energy	-0.42	eV/atom

a b c (Å): 7.186 8.380 8.380
angles (deg): 79.41 64.61 64.61
Sites, in units of the cell vectors:
Pd  0.875  0.250  0.750
Pd  0.875  0.250  0.250
Al  0.000  0.000  0.000
Al  0.006  0.676  0.920
Al  0.073  0.324  0.920
Pd  0.375  0.750  0.750
Pd  0.875  0.750  0.250
Y  0.500  0.000  0.000
Al  0.677  0.176  0.580
Al  0.147  0.420  0.176
Al  0.603  0.324  0.080
Al  0.317  0.080  0.676
Y  0.250  0.500  0.500
Al  0.433  0.824  0.420
Al  0.433  0.420  0.824
Al  0.147  0.176  0.420
Al  0.750  0.500  0.500
Al  0.073  0.920  0.324
Al  0.677  0.580  0.176
Al  0.744  0.824  0.580
Al  0.006  0.920  0.676
Al  0.744  0.580  0.824
Al  0.603  0.080  0.324
Al  0.317  0.676  0.080

---

The following is a PBE calculation of YAlPd after structural relaxation, from Alexandria via LeMat-Bulk.

Summary:
formation energy	-0.87	eV/atom

a b c (Å): 7.198 7.198 4.043
angles (deg): 90.00 90.00 120.00
Sites, in units of the cell vectors:
Al  0.000  0.238  0.000
Y  0.415  0.415  0.500
Al  0.762  0.762  0.000
Pd  0.000  0.000  0.500
Pd  0.667  0.333  0.000
Al  0.238  0.000  0.000
Pd  0.333  0.667  0.000
Y  0.000  0.585  0.500
Y  0.585  0.000  0.500

---

The following is a PBE calculation of Y2AlPd after structural relaxation, from Alexandria via LeMat-Bulk.

Summary:
formation energy	-0.22	eV/atom

a b c (Å): 7.926 7.926 6.447
angles (deg): 52.07 52.07 90.00
Sites, in units of the cell vectors:
Y  0.659  0.125  0.250
Al  0.500  0.500  0.000
Y  0.091  0.625  0.250
Al  0.250  0.750  0.500
Y  0.375  0.341  0.750
Y  0.875  0.909  0.750
Pd  0.750  0.250  0.500
Pd  0.000  0.000  0.000

---

The following is a PBE calculation of YAl2Pd5 after structural relaxation, from Alexandria via LeMat-Bulk.

Summary:
formation energy	-0.78	eV/atom
polymorph energy (0 for the lowest one)	0.1528	eV/atom

a b c (Å): 3.858 6.500 6.500
angles (deg): 65.42 72.74 72.74
Sites, in units of the cell vectors:
Al  0.761  0.739  0.739
Pd  0.641  0.562  0.155
Pd  0.641  0.155  0.562
Al  0.239  0.261  0.261
Pd  0.000  0.500  0.500
Pd  0.359  0.845  0.438
Pd  0.359  0.438  0.845
Y  0.000  0.000  0.000

---

The following is a PBE calculation of Y2AlPd4 after structural relaxation, from Alexandria via LeMat-Bulk.

Summary:
formation energy	-0.50	eV/atom

a b c (Å): 4.587 4.587 7.962
angles (deg): 106.74 106.74 90.00
Sites, in units of the cell vectors:
Pd  0.000  0.500  0.000
Y  0.358  0.358  0.716
Pd  0.166  0.166  0.332
Pd  0.500  0.000  0.000
Y  0.642  0.642  0.284
Pd  0.834  0.834  0.668
Al  0.000  0.000  0.000

---

The following is a PBE calculation of YAl3Pd4 after structural relaxation, from Alexandria via LeMat-Bulk.

Summary:
formation energy	-0.89	eV/atom

a b c (Å): 4.315 4.315 8.800
angles (deg): 75.81 75.81 60.00
Sites, in units of the cell vectors:
Pd  0.598  0.598  0.205
Pd  0.402  0.402  0.795
Pd  0.134  0.134  0.599
Al  0.500  0.500  0.500
Pd  0.866  0.866  0.401
Y  0.000  0.000  0.000
Al  0.242  0.242  0.275
Al  0.758  0.758  0.725

---

Size of the total moment (computed, Bohr magnetons per cell): 0.00 0.00 0.00 0.00 0.00 0.00
Uncorrected energy (computed, eV per atom): -4.63 -6.01 -5.68 -5.77 -5.85 -5.70
Fermi-level density of states (computed, states/eV/f.u.): 3.0 2.0 4.2 2.9 3.5 2.6